Ho12AlCd6: relaxed, PBE.

Cell: 8.926 8.926 8.926 Å, 111.23 111.23 111.23°
Fractional coordinates of all 19 atoms:
Ho: 0.034 0.299 0.179
Ho: 0.179 0.034 0.299
Ho: 0.237 0.603 0.661
Ho: 0.299 0.179 0.034
Ho: 0.339 0.763 0.397
Ho: 0.397 0.339 0.763
Ho: 0.603 0.661 0.237
Ho: 0.661 0.237 0.603
Ho: 0.701 0.821 0.966
Ho: 0.763 0.397 0.339
Ho: 0.821 0.966 0.701
Ho: 0.966 0.701 0.821
Al: 0.500 0.500 0.500
Cd: 0.077 0.859 0.555
Cd: 0.141 0.445 0.923
Cd: 0.445 0.923 0.141
Cd: 0.555 0.077 0.859
Cd: 0.859 0.555 0.077
Cd: 0.923 0.141 0.445

Summary:
**Total magnetic moment**: 0.000 μB per atom
**Electronic total energy**: -3.5082 eV/atom


Ho4Al12Cd: relaxed, PBE.

Cell: 7.579 7.579 7.579 Å, 109.47 109.47 109.47°
Fractional coordinates of all 17 atoms:
Ho: 0.000 0.000 0.500
Ho: 0.000 0.500 0.000
Ho: 0.500 0.000 0.000
Ho: 0.500 0.500 0.500
Al: 0.000 0.313 0.313
Al: 0.000 0.687 0.687
Al: 0.250 0.500 0.750
Al: 0.250 0.750 0.500
Al: 0.313 0.000 0.313
Al: 0.313 0.313 0.000
Al: 0.500 0.250 0.750
Al: 0.500 0.750 0.250
Al: 0.687 0.000 0.687
Al: 0.687 0.687 0.000
Al: 0.750 0.250 0.500
Al: 0.750 0.500 0.250
Cd: 0.000 0.000 0.000

Summary:
**Total magnetic moment**: 0.000 μB per atom
**Electronic total energy**: -4.1311 eV/atom


- Which of these has the lowest electronic total energy?
  Ho4Al12Cd


What did the first record say?
Ho12AlCd6: relaxed, PBE.

Cell: 8.926 8.926 8.926 Å, 111.23 111.23 111.23°
Fractional coordinates of all 19 atoms:
Ho: 0.034 0.299 0.179
Ho: 0.179 0.034 0.299
Ho: 0.237 0.603 0.661
Ho: 0.299 0.179 0.034
Ho: 0.339 0.763 0.397
Ho: 0.397 0.339 0.763
Ho: 0.603 0.661 0.237
Ho: 0.661 0.237 0.603
Ho: 0.701 0.821 0.966
Ho: 0.763 0.397 0.339
Ho: 0.821 0.966 0.701
Ho: 0.966 0.701 0.821
Al: 0.500 0.500 0.500
Cd: 0.077 0.859 0.555
Cd: 0.141 0.445 0.923
Cd: 0.445 0.923 0.141
Cd: 0.555 0.077 0.859
Cd: 0.859 0.555 0.077
Cd: 0.923 0.141 0.445

Summary:
**Total magnetic moment**: 0.000 μB per atom
**Electronic total energy**: -3.5082 eV/atom